Density functional theory data (GGA-PBE) for a relaxed CsMgSc3 crystal.

DFT formation energy in eV per atom: 1.342

a b c (Å): 5.316 5.316 5.316
angles (deg): 90.00 90.00 90.00
Space group Pm-3m (No. 221)
Unique sites:
Cs 0.000 0.000 0.000 (multiplicity 1)
Mg 0.500 0.500 0.500 (multiplicity 1)
Sc 0.000 0.000 0.500 (multiplicity 3)

---

Density functional theory data (GGA-PBE) for a relaxed HgBiS crystal.

Formation energy (no corrections) in eV per atom: 0.05

a b c (Å): 4.5303 4.5303 4.7673
angles (deg): 90.00 90.00 120.00
Space group P3m1 (No. 156)
Unique sites:
Hg 0.0000 0.0000 0.0000 (multiplicity 1)
Bi 0.6667 0.3333 0.4179 (multiplicity 1)
S 0.3333 0.6667 0.6264 (multiplicity 1)

---

Computed total DFT energy (no corrections), in the same sequence as the records: -14.7, -8.2 eV per cell.